# 1
First-principles (PBE) data for an optimized crystal structure of Fe4AuBr, as listed in Alexandria via LeMat-Bulk.

Cell and atoms, written as POSCAR:
```
Fe4AuBr
1.0
0.0000 3.5705 3.5705
3.5705 0.0000 3.5705
3.5705 3.5705 0.0000
Fe Au Br
4 1 1
direct
0.1232 0.1232 0.1232
0.1232 0.1232 0.6304
0.1232 0.6304 0.1232
0.6304 0.1232 0.1232
0.7500 0.7500 0.7500
0.5000 0.5000 0.5000
```

Calculated values
Uncorrected formation energy, eV per atom: 0.5732

***

# 2
First-principles (PBE) data for an optimized crystal structure of Os2RuRh3, as listed in Alexandria via LeMat-Bulk.

Cell and atoms, written as POSCAR:
```
Os2RuRh3
1.0
2.6845 -6.6491 0.0000
2.6845 6.6491 0.0000
0.0000 0.0000 4.9730
Os Ru Rh
4 2 6
direct
0.2417 0.2417 0.0000
0.2417 0.2417 0.5000
0.7583 0.7583 0.0000
0.7583 0.7583 0.5000
0.1504 0.8496 0.7500
0.8496 0.1504 0.2500
0.0720 0.4223 0.7500
0.3507 0.6493 0.2500
0.4223 0.0720 0.2500
0.5777 0.9280 0.7500
0.6493 0.3507 0.7500
0.9280 0.5777 0.2500
```

Calculated values
Energy above the lowest structure with this stoichiometry, eV per formula unit: 1.39
E_form, meV/atom: 288.8

***

# 3
First-principles (PBE) data for an optimized crystal structure of RbRhSe2, as listed in Alexandria via LeMat-Bulk.

Cell and atoms, written as POSCAR:
```
RbRhSe2
1.0
5.4160 0.0000 0.0000
0.0000 5.4160 0.0000
0.0000 0.0000 3.0418
Rb Rh Se
1 1 2
direct
0.0000 0.0000 0.0000
0.5000 0.5000 0.0000
0.0000 0.5000 0.5000
0.5000 0.0000 0.5000
```

Calculated values
Uncorrected formation energy, eV per atom: 0.2408

***

no.,total DFT energy (no corrections) (eV per atom)
1,-5.894
2,-8.676
3,-3.581